ZnW5 | PBE-GGA | relaxed

a b c (Å): 5.283 5.283 4.550
angles (deg): 90.00 90.00 120.00
Sites, in units of the cell vectors:
1 W 0.500 0.500 0.500
2 W 0.000 0.500 0.500
3 W 0.333 0.667 0.000
4 W 0.667 0.333 0.000
5 W 0.500 0.000 0.500
6 Zn 0.000 0.000 0.000

Summary:
Its crystal system is hexagonal. The electronic total energy is -61.5 eV per formula unit. The energy above the most stable polymorph in this dataset is 557 meV per atom. The calculation puts the total magnetic moment at 0.00 μB per formula unit. For the energy of formation, the calculation gives 4.555 eV per formula unit. The value obtained for the density of states at the Fermi level is 2.7 states/eV/f.u.

ScAsP2Cl | PBE-GGA | relaxed

a b c (Å): 5.085 5.085 4.670
angles (deg): 90.00 90.00 90.00
Sites, in units of the cell vectors:
1 As 0.500 0.500 0.500
2 Cl 0.000 0.000 0.500
3 P 0.500 0.000 0.000
4 P 0.000 0.500 0.000
5 Sc 0.000 0.000 0.000

Summary:
The calculation puts the formation energy from raw total energies at 0.190 eV per atom. Its crystal system is tetragonal. The electronic total energy is -22.7 eV per formula unit. The energy above the most stable polymorph in this dataset is 0 meV per atom. The calculation puts the total magnetic moment at 0.00 μB per formula unit. The value obtained for the density of states at the Fermi level is 4.0 states/eV/f.u.

EuTlCuPd | PBE-GGA | relaxed

a b c (Å): 4.938 4.938 4.938
angles (deg): 60.00 60.00 60.00
Last column: magnetic moment on the atom in μB.
Sites, in units of the cell vectors:
1 Eu 0.000 0.000 0.000  -6.76
2 Tl 0.500 0.500 0.500  -0.01
3 Pd 0.750 0.750 0.750  0.01
4 Cu 0.250 0.250 0.250  0.00

Summary:
Its crystal system is cubic. The electronic total energy is -22.9 eV per formula unit. The calculation puts the total magnetic moment at 7.00 μB per formula unit. For the energy of formation, the calculation gives -0.931 eV per formula unit. The value obtained for the density of states at the Fermi level is 9.6 states/eV/f.u.

Be3OsN | PBE-GGA | relaxed

a b c (Å): 4.195 4.195 4.195
angles (deg): 90.00 90.00 90.00
Last column: magnetic moment on the atom in μB.
Sites, in units of the cell vectors:
1 Be 0.000 0.500 0.000  -0.09
2 Be 0.000 0.000 0.500  -0.05
3 Be 0.500 0.000 0.000  -0.09
4 Os 0.000 0.000 0.000  0.27
5 N 0.500 0.500 0.500  1.12

Summary:
The calculation puts the formation energy from raw total energies at 1.848 eV per atom. Its crystal system is cubic. The electronic total energy is -21.5 eV per formula unit. The energy above the most stable polymorph in this dataset is 1714 meV per atom. The calculation puts the total magnetic moment at 1.30 μB per formula unit. The value obtained for the density of states at the Fermi level is 1.9 states/eV/f.u.

BeAgSe | PBE-GGA | relaxed

a b c (Å): 6.591 6.591 6.591
angles (deg): 154.03 154.03 37.05
Sites, in units of the cell vectors:
1 Ag 0.955 0.955 0.000
2 Se 0.720 0.720 0.000
3 Be 0.324 0.324 0.000

Summary:
The calculation puts the formation energy from raw total energies at 0.267 eV per atom. Its crystal system is tetragonal. The electronic total energy is -9.3 eV per formula unit. The energy above the most stable polymorph in this dataset is 521 meV per atom. The calculation puts the total magnetic moment at 0.00 μB per formula unit. The value obtained for the density of states at the Fermi level is 0.7 states/eV/f.u.

CoOs2 | PBE-GGA | relaxed

a b c (Å): 5.896 5.896 3.762
angles (deg): 90.00 90.00 142.86
Sites, in units of the cell vectors:
1 Os 0.754 0.246 0.250
2 Os 0.582 0.418 0.750
3 Os 0.418 0.582 0.250
4 Os 0.246 0.754 0.750
5 Co 0.916 0.084 0.750
6 Co 0.084 0.916 0.250

Summary:
Its crystal system is orthorhombic. The electronic total energy is -29.1 eV per formula unit. The energy above the most stable polymorph in this dataset is 116 meV per atom. The calculation puts the total magnetic moment at 0.00 μB per formula unit. For the energy of formation, the calculation gives 0.471 eV per formula unit. The value obtained for the density of states at the Fermi level is 3.2 states/eV/f.u.

DyPbCl5 | PBE-GGA | relaxed

a b c (Å): 7.258 7.258 10.368
angles (deg): 108.43 108.43 90.20
Sites, in units of the cell vectors:
1 Cl 0.808 0.891 0.146
2 Cl 0.233 0.267 0.250
3 Cl 0.776 0.279 0.973
4 Cl 0.391 0.308 0.646
5 Cl 0.779 0.276 0.473
6 Cl 0.221 0.724 0.527
7 Cl 0.192 0.109 0.854
8 Cl 0.767 0.733 0.750
9 Cl 0.224 0.721 0.027
10 Cl 0.609 0.692 0.354
11 Dy 0.000 0.000 0.000
12 Dy 0.500 0.500 0.500
13 Pb 0.913 0.587 0.250
14 Pb 0.087 0.413 0.750

Summary:
The calculation puts the formation energy from raw total energies at -1.749 eV per atom. Its crystal system is monoclinic. The electronic total energy is -29.8 eV per formula unit. The calculation puts the total magnetic moment at 0.00 μB per formula unit. The value obtained for the density of states at the Fermi level is 0.0 states/eV/f.u.

Tl3Cd12Bi5 | PBE-GGA | relaxed

a b c (Å): 15.088 15.088 15.088
angles (deg): 109.47 109.47 109.47
Sites, in units of the cell vectors:
1 Tl 0.250 0.125 0.375
2 Tl 0.125 0.875 0.750
3 Tl 0.125 0.250 0.875
4 Tl 0.875 0.125 0.250
5 Tl 0.875 0.750 0.125
6 Tl 0.625 0.250 0.375
7 Tl 0.375 0.625 0.250
8 Tl 0.625 0.375 0.750
9 Tl 0.375 0.750 0.625
10 Tl 0.750 0.875 0.625
11 Tl 0.750 0.375 0.125
12 Tl 0.250 0.625 0.875
13 Cd 0.396 0.130 0.568
14 Cd 0.896 0.068 0.630
15 Cd 0.396 0.266 0.328
16 Cd 0.172 0.104 0.734
17 Cd 0.104 0.172 0.234
18 Cd 0.562 0.234 0.130
19 Cd 0.938 0.568 0.172
20 Cd 0.734 0.604 0.172
21 Cd 0.266 0.396 0.828
22 Cd 0.370 0.938 0.766
23 Cd 0.932 0.104 0.870
24 Cd 0.062 0.432 0.828
25 Cd 0.766 0.438 0.370
26 Cd 0.432 0.370 0.604
27 Cd 0.438 0.766 0.870
28 Cd 0.672 0.234 0.604
29 Cd 0.104 0.932 0.370
30 Cd 0.896 0.828 0.766
31 Cd 0.568 0.630 0.396
32 Cd 0.604 0.734 0.672
33 Cd 0.068 0.172 0.438
34 Cd 0.672 0.438 0.568
35 Cd 0.370 0.432 0.104
36 Cd 0.630 0.062 0.234
37 Cd 0.766 0.328 0.896
38 Cd 0.130 0.396 0.068
39 Cd 0.630 0.568 0.896
40 Cd 0.328 0.562 0.432
41 Cd 0.068 0.896 0.130
42 Cd 0.604 0.870 0.432
43 Cd 0.870 0.266 0.438
44 Cd 0.328 0.766 0.396
45 Cd 0.234 0.562 0.630
46 Cd 0.828 0.896 0.266
47 Cd 0.062 0.630 0.734
48 Cd 0.438 0.672 0.068
49 Cd 0.938 0.370 0.266
50 Cd 0.172 0.068 0.938
51 Cd 0.432 0.062 0.328
52 Cd 0.130 0.734 0.562
53 Cd 0.828 0.932 0.062
54 Cd 0.870 0.604 0.932
55 Cd 0.932 0.828 0.562
56 Cd 0.562 0.328 0.932
57 Cd 0.266 0.870 0.938
58 Cd 0.568 0.938 0.672
59 Cd 0.234 0.672 0.104
60 Cd 0.734 0.130 0.062
61 Bi 0.250 0.875 0.125
62 Bi 0.750 0.625 0.375
63 Bi 0.000 0.000 0.000
64 Bi 0.500 0.500 0.000
65 Bi 0.000 0.500 0.500
66 Bi 0.875 0.625 0.750
67 Bi 0.375 0.125 0.750
68 Bi 0.375 0.250 0.125
69 Bi 0.125 0.375 0.250
70 Bi 0.125 0.750 0.375
71 Bi 0.250 0.375 0.625
72 Bi 0.875 0.250 0.625
73 Bi 0.000 0.000 0.500
74 Bi 0.500 0.000 0.000
75 Bi 0.625 0.875 0.250
76 Bi 0.500 0.500 0.500
77 Bi 0.750 0.125 0.875
78 Bi 0.625 0.750 0.875
79 Bi 0.500 0.000 0.500
80 Bi 0.000 0.500 0.000

Summary:
Its crystal system is cubic. The electronic total energy is -34.7 eV per formula unit. The calculation puts the total magnetic moment at 0.00 μB per formula unit. For the energy of formation, the calculation gives 2.798 eV per formula unit. The value obtained for the density of states at the Fermi level is 6.2 states/eV/f.u.

Sm2Dy4Y2Ho | PBE-GGA | relaxed

a b c (Å): 3.598 9.510 9.560
angles (deg): 115.23 90.00 100.90
Sites, in units of the cell vectors:
1 Y 0.853 0.706 0.336
2 Y 0.147 0.294 0.664
3 Sm 0.666 0.332 0.001
4 Sm 0.334 0.668 0.999
5 Dy 0.519 0.038 0.333
6 Dy 0.481 0.962 0.667
7 Dy 0.815 0.630 0.665
8 Dy 0.185 0.370 0.335
9 Ho 0.000 0.000 0.000

Summary:
Its crystal system is monoclinic. The electronic total energy is -45.4 eV per formula unit. The calculation puts the total magnetic moment at 0.00 μB per formula unit. For the energy of formation, the calculation gives -0.017 eV per formula unit. The value obtained for the density of states at the Fermi level is 12.1 states/eV/f.u.

NaHfPb | PBE-GGA | relaxed

a b c (Å): 4.753 4.753 9.008
angles (deg): 74.70 74.70 60.00
Last column: magnetic moment on the atom in μB.
Sites, in units of the cell vectors:
1 Na 0.862 0.862 0.415  0.00
2 Na 0.138 0.138 0.585  0.00
3 Hf 0.703 0.703 0.890  0.38
4 Hf 0.297 0.297 0.110  0.38
5 Pb 0.585 0.585 0.246  -0.03
6 Pb 0.415 0.415 0.754  -0.03

Summary:
Its crystal system is trigonal. The electronic total energy is -14.1 eV per formula unit. The calculation puts the total magnetic moment at 0.54 μB per formula unit. For the energy of formation, the calculation gives 0.842 eV per formula unit. The value obtained for the density of states at the Fermi level is 1.8 states/eV/f.u.

What is the formula in the first record?
ZnW5